Compound: DyScMo4
Source: Alexandria via LeMat-Bulk
Functional: GGA-PBE
Structure: relaxed

Properties
For the energy of formation from the pure elements, the calculation gives 0.05 eV per atom. The uncorrected energy comes out at -0.3305 Ha/atom.

Cell and atoms, written as CIF:
```
data_DyScMo4
_cell_length_a 7.7070
_cell_length_b 7.7070
_cell_length_c 7.7070
_cell_angle_alpha 90.00
_cell_angle_beta 90.00
_cell_angle_gamma 90.00
_symmetry_space_group_name_H-M 'F -4 3 m'
_symmetry_Int_Tables_number 216
_symmetry_space_group_name_Hall 'F -4 2 3'
loop_
_atom_site_label
_atom_site_fract_x
_atom_site_fract_y
_atom_site_fract_z
Dy1 0.0000 0.0000 0.0000
Sc1 0.2500 0.2500 0.2500
Mo1 0.1250 0.1250 0.6250
```